Entry 1:
A plane-wave DFT calculation with GGA-PBE was carried out for an optimized crystal structure of HfHgRu2N.

Results
Space group: P4/mmm (123)
Total magnetic moment: 4.93 μB per formula unit
Uncorrected formation energy: 2.3199 eV per atom
Density of states at the Fermi level: 4.5 states/eV/f.u.
Calculated density: 7.519 g/cm³
Calculated total energy: -5.107 eV/atom

```
data_HfHgRu2N
_space_group_name_H-M_alt 'P 1'
_space_group_IT_number 1
_cell_length_a 4.8142
_cell_length_b 5.6715
_cell_length_c 4.8142
_cell_angle_alpha 90.00
_cell_angle_beta 90.00
_cell_angle_gamma 90.00
loop_
_space_group_symop_operation_xyz
'x,y,z'
loop_
_atom_site_label
_atom_site_type_symbol
_atom_site_fract_x
_atom_site_fract_y
_atom_site_fract_z
Ru1 Ru 0.0000 0.0000 0.5000
Ru2 Ru 0.5000 0.0000 0.0000
Hf1 Hf 0.0000 0.0000 0.0000
Hg1 Hg 0.0000 0.5000 0.0000
N1 N 0.5000 0.5000 0.5000
```

Entry 2:
A plane-wave DFT calculation with GGA-PBE was carried out for an optimized crystal structure of HfHgS2N.

Results
Space group: P4/mmm (123)
Distance to the lowest polymorph of the same formula: 1.2708 eV/atom
Total magnetic moment: 0.00 μB per formula unit
Uncorrected formation energy: 1.1387 eV per atom
Density of states at the Fermi level: 2.3 states/eV/f.u.
Calculated density: 7.771 g/cm³
Calculated total energy: -4.228 eV/atom

```
data_HfHgS2N
_space_group_name_H-M_alt 'P 1'
_space_group_IT_number 1
_cell_length_a 4.8944
_cell_length_b 4.8944
_cell_length_c 4.0785
_cell_angle_alpha 90.00
_cell_angle_beta 90.00
_cell_angle_gamma 90.00
loop_
_space_group_symop_operation_xyz
'x,y,z'
loop_
_atom_site_label
_atom_site_type_symbol
_atom_site_fract_x
_atom_site_fract_y
_atom_site_fract_z
S1 S 0.0000 0.5000 0.0000
S2 S 0.5000 0.0000 0.0000
Hf1 Hf 0.5000 0.5000 0.5000
Hg1 Hg 0.0000 0.0000 0.0000
N1 N 0.0000 0.0000 0.5000
```

Entry 3:
A plane-wave DFT calculation with GGA-PBE was carried out for an optimized crystal structure of HfHgSN2.

Results
Space group: P4/mmm (123)
Distance to the lowest polymorph of the same formula: 1.2788 eV/atom
Total magnetic moment: 0.00 μB per formula unit
Uncorrected formation energy: 1.5523 eV per atom
Density of states at the Fermi level: 3.1 states/eV/f.u.
Calculated density: 8.840 g/cm³
Calculated total energy: -4.654 eV/atom

```
data_HfHgSN2
_space_group_name_H-M_alt 'P 1'
_space_group_IT_number 1
_cell_length_a 4.1293
_cell_length_b 4.1293
_cell_length_c 4.8377
_cell_angle_alpha 90.00
_cell_angle_beta 90.00
_cell_angle_gamma 90.00
loop_
_space_group_symop_operation_xyz
'x,y,z'
loop_
_atom_site_label
_atom_site_type_symbol
_atom_site_fract_x
_atom_site_fract_y
_atom_site_fract_z
S1 S 0.0000 0.0000 0.5000
Hf1 Hf 0.5000 0.5000 0.5000
Hg1 Hg 0.0000 0.0000 0.0000
N1 N 0.0000 0.5000 0.0000
N2 N 0.5000 0.0000 0.0000
```

Entry 4:
A plane-wave DFT calculation with GGA-PBE was carried out for an optimized crystal structure of HfHgS2N.

Results
Space group: P4/mmm (123)
Distance to the lowest polymorph of the same formula: 0.0000 eV/atom
Total magnetic moment: 1.38 μB per formula unit
Uncorrected formation energy: -0.1322 eV per atom
Density of states at the Fermi level: 2.4 states/eV/f.u.
Calculated density: 7.173 g/cm³
Calculated total energy: -5.499 eV/atom

```
data_HfHgS2N
_space_group_name_H-M_alt 'P 1'
_space_group_IT_number 1
_cell_length_a 5.0666
_cell_length_b 5.0666
_cell_length_c 4.1232
_cell_angle_alpha 90.00
_cell_angle_beta 90.00
_cell_angle_gamma 90.00
loop_
_space_group_symop_operation_xyz
'x,y,z'
loop_
_atom_site_label
_atom_site_type_symbol
_atom_site_fract_x
_atom_site_fract_y
_atom_site_fract_z
S1 S 0.0000 0.5000 0.0000
S2 S 0.5000 0.0000 0.0000
Hf1 Hf 0.0000 0.0000 0.0000
Hg1 Hg 0.5000 0.5000 0.5000
N1 N 0.0000 0.0000 0.5000
```

Entry 5:
A plane-wave DFT calculation with GGA-PBE was carried out for an optimized crystal structure of HfHgSN2.

Results
Space group: P4/mmm (123)
Distance to the lowest polymorph of the same formula: 0.0000 eV/atom
Total magnetic moment: 0.13 μB per formula unit
Uncorrected formation energy: 0.2735 eV per atom
Density of states at the Fermi level: 3.3 states/eV/f.u.
Calculated density: 7.990 g/cm³
Calculated total energy: -5.933 eV/atom

```
data_HfHgSN2
_space_group_name_H-M_alt 'P 1'
_space_group_IT_number 1
_cell_length_a 4.0801
_cell_length_b 4.0801
_cell_length_c 5.4825
_cell_angle_alpha 90.00
_cell_angle_beta 90.00
_cell_angle_gamma 90.00
loop_
_space_group_symop_operation_xyz
'x,y,z'
loop_
_atom_site_label
_atom_site_type_symbol
_atom_site_fract_x
_atom_site_fract_y
_atom_site_fract_z
S1 S 0.0000 0.0000 0.5000
Hf1 Hf 0.0000 0.0000 0.0000
Hg1 Hg 0.5000 0.5000 0.5000
N1 N 0.0000 0.5000 0.0000
N2 N 0.5000 0.0000 0.0000
```

Entry 6:
A plane-wave DFT calculation with GGA-PBE was carried out for an optimized crystal structure of HfSc2HgN.

Results
Space group: P4/mmm (123)
Distance to the lowest polymorph of the same formula: 0.0000 eV/atom
Total magnetic moment: 0.00 μB per formula unit
Uncorrected formation energy: -0.9951 eV per atom
Density of states at the Fermi level: 1.8 states/eV/f.u.
Calculated density: 9.217 g/cm³
Calculated total energy: -7.244 eV/atom

```
data_HfSc2HgN
_space_group_name_H-M_alt 'P 1'
_space_group_IT_number 1
_cell_length_a 4.4330
_cell_length_b 4.4330
_cell_length_c 4.4281
_cell_angle_alpha 90.00
_cell_angle_beta 90.00
_cell_angle_gamma 90.00
loop_
_space_group_symop_operation_xyz
'x,y,z'
loop_
_atom_site_label
_atom_site_type_symbol
_atom_site_fract_x
_atom_site_fract_y
_atom_site_fract_z
Sc1 Sc 0.0000 0.5000 0.0000
Sc2 Sc 0.5000 0.0000 0.0000
Hf1 Hf 0.0000 0.0000 0.5000
Hg1 Hg 0.5000 0.5000 0.5000
N1 N 0.0000 0.0000 0.0000
```

Entry 7:
A plane-wave DFT calculation with GGA-PBE was carried out for an optimized crystal structure of HfSc2HgN.

Results
Space group: P4/mmm (123)
Distance to the lowest polymorph of the same formula: 1.4727 eV/atom
Total magnetic moment: 0.00 μB per formula unit
Uncorrected formation energy: 0.4776 eV per atom
Density of states at the Fermi level: 5.1 states/eV/f.u.
Calculated density: 6.516 g/cm³
Calculated total energy: -5.771 eV/atom

```
data_HfSc2HgN
_space_group_name_H-M_alt 'P 1'
_space_group_IT_number 1
_cell_length_a 5.5079
_cell_length_b 4.0574
_cell_length_c 5.5079
_cell_angle_alpha 90.00
_cell_angle_beta 90.00
_cell_angle_gamma 90.00
loop_
_space_group_symop_operation_xyz
'x,y,z'
loop_
_atom_site_label
_atom_site_type_symbol
_atom_site_fract_x
_atom_site_fract_y
_atom_site_fract_z
Sc1 Sc 0.0000 0.0000 0.5000
Sc2 Sc 0.5000 0.0000 0.0000
Hf1 Hf 0.0000 0.0000 0.0000
Hg1 Hg 0.5000 0.5000 0.5000
N1 N 0.0000 0.5000 0.0000
```

Entry 8:
A plane-wave DFT calculation with GGA-PBE was carried out for an optimized crystal structure of HfHgSe2N.

Results
Space group: P4/mmm (123)
Distance to the lowest polymorph of the same formula: 1.2150 eV/atom
Total magnetic moment: 0.15 μB per formula unit
Uncorrected formation energy: 1.1045 eV per atom
Density of states at the Fermi level: 3.7 states/eV/f.u.
Calculated density: 8.199 g/cm³
Calculated total energy: -4.005 eV/atom

```
data_HfHgSe2N
_space_group_name_H-M_alt 'P 1'
_space_group_IT_number 1
_cell_length_a 5.2703
_cell_length_b 5.2703
_cell_length_c 4.0176
_cell_angle_alpha 90.00
_cell_angle_beta 90.00
_cell_angle_gamma 90.00
loop_
_space_group_symop_operation_xyz
'x,y,z'
loop_
_atom_site_label
_atom_site_type_symbol
_atom_site_fract_x
_atom_site_fract_y
_atom_site_fract_z
Hf1 Hf 0.5000 0.5000 0.5000
Hg1 Hg 0.0000 0.0000 0.0000
Se1 Se 0.0000 0.5000 0.0000
Se2 Se 0.5000 0.0000 0.0000
N1 N 0.0000 0.0000 0.5000
```

Entry 9:
A plane-wave DFT calculation with GGA-PBE was carried out for an optimized crystal structure of HfHgSe2N.

Results
Space group: P4/mmm (123)
Distance to the lowest polymorph of the same formula: 0.0000 eV/atom
Total magnetic moment: 1.25 μB per formula unit
Uncorrected formation energy: -0.1105 eV per atom
Density of states at the Fermi level: 2.9 states/eV/f.u.
Calculated density: 7.882 g/cm³
Calculated total energy: -5.220 eV/atom

```
data_HfHgSe2N
_space_group_name_H-M_alt 'P 1'
_space_group_IT_number 1
_cell_length_a 5.3181
_cell_length_b 5.3181
_cell_length_c 4.1046
_cell_angle_alpha 90.00
_cell_angle_beta 90.00
_cell_angle_gamma 90.00
loop_
_space_group_symop_operation_xyz
'x,y,z'
loop_
_atom_site_label
_atom_site_type_symbol
_atom_site_fract_x
_atom_site_fract_y
_atom_site_fract_z
Hf1 Hf 0.0000 0.0000 0.0000
Hg1 Hg 0.5000 0.5000 0.5000
Se1 Se 0.0000 0.5000 0.0000
Se2 Se 0.5000 0.0000 0.0000
N1 N 0.0000 0.0000 0.5000
```

Entry 10:
A plane-wave DFT calculation with GGA-PBE was carried out for an optimized crystal structure of Hf2TaHgN.

Results
Space group: P4/mmm (123)
Total magnetic moment: 0.00 μB per formula unit
Uncorrected formation energy: -0.5947 eV per atom
Density of states at the Fermi level: 2.8 states/eV/f.u.
Calculated density: 14.617 g/cm³
Calculated total energy: -8.672 eV/atom

```
data_Hf2TaHgN
_space_group_name_H-M_alt 'P 1'
_space_group_IT_number 1
_cell_length_a 4.5457
_cell_length_b 4.5457
_cell_length_c 4.1375
_cell_angle_alpha 90.00
_cell_angle_beta 90.00
_cell_angle_gamma 90.00
loop_
_space_group_symop_operation_xyz
'x,y,z'
loop_
_atom_site_label
_atom_site_type_symbol
_atom_site_fract_x
_atom_site_fract_y
_atom_site_fract_z
N1 N 0.0000 0.0000 0.0000
Hf1 Hf 0.0000 0.5000 0.0000
Hf2 Hf 0.5000 0.0000 0.0000
Hg1 Hg 0.5000 0.5000 0.5000
Ta1 Ta 0.0000 0.0000 0.5000
```

Entry 11:
A plane-wave DFT calculation with GGA-PBE was carried out for an optimized crystal structure of HfHgTeN2.

Results
Space group: P4/mmm (123)
Distance to the lowest polymorph of the same formula: 0.0000 eV/atom
Total magnetic moment: 0.13 μB per formula unit
Uncorrected formation energy: 0.2857 eV per atom
Density of states at the Fermi level: 4.5 states/eV/f.u.
Calculated density: 8.315 g/cm³
Calculated total energy: -5.724 eV/atom

```
data_HfHgTeN2
_space_group_name_H-M_alt 'P 1'
_space_group_IT_number 1
_cell_length_a 4.1589
_cell_length_b 4.1589
_cell_length_c 6.1735
_cell_angle_alpha 90.00
_cell_angle_beta 90.00
_cell_angle_gamma 90.00
loop_
_space_group_symop_operation_xyz
'x,y,z'
loop_
_atom_site_label
_atom_site_type_symbol
_atom_site_fract_x
_atom_site_fract_y
_atom_site_fract_z
Te1 Te 0.0000 0.0000 0.5000
Hf1 Hf 0.0000 0.0000 0.0000
Hg1 Hg 0.5000 0.5000 0.5000
N1 N 0.0000 0.5000 0.0000
N2 N 0.5000 0.0000 0.0000
```

Entry 12:
A plane-wave DFT calculation with GGA-PBE was carried out for an optimized crystal structure of HfHgTe2N.

Results
Space group: P4/mmm (123)
Distance to the lowest polymorph of the same formula: 1.2068 eV/atom
Total magnetic moment: 0.00 μB per formula unit
Uncorrected formation energy: 1.2196 eV per atom
Density of states at the Fermi level: 8.4 states/eV/f.u.
Calculated density: 8.547 g/cm³
Calculated total energy: -3.753 eV/atom

```
data_HfHgTe2N
_space_group_name_H-M_alt 'P 1'
_space_group_IT_number 1
_cell_length_a 5.6044
_cell_length_b 5.6044
_cell_length_c 4.0102
_cell_angle_alpha 90.00
_cell_angle_beta 90.00
_cell_angle_gamma 90.00
loop_
_space_group_symop_operation_xyz
'x,y,z'
loop_
_atom_site_label
_atom_site_type_symbol
_atom_site_fract_x
_atom_site_fract_y
_atom_site_fract_z
Te1 Te 0.0000 0.5000 0.0000
Te2 Te 0.5000 0.0000 0.0000
Hf1 Hf 0.5000 0.5000 0.5000
Hg1 Hg 0.0000 0.0000 0.0000
N1 N 0.0000 0.0000 0.5000
```